The following is a PBE calculation of an optimized crystal structure of NbInCoNi, from OQMD via LeMat-Bulk.

a = 4.3967 Å, b = 4.3967 Å, c = 4.3967 Å
α = 60.00°, β = 60.00°, γ = 60.00°
Positions (direct):
Nb1 0.0000 0.0000 0.0000
In1 0.2500 0.2500 0.2500
Co1 0.7500 0.7500 0.7500
Ni1 0.5000 0.5000 0.5000

Calculated values
DFT total energy: -6.17 eV/atom


The following is a PBE calculation of an optimized crystal structure of ThTcNi, from OQMD via LeMat-Bulk.

a = 4.4130 Å, b = 4.4130 Å, c = 4.4130 Å
α = 60.00°, β = 60.00°, γ = 60.00°
Positions (direct):
Th1 0.0000 0.0000 0.0000
Tc1 0.5000 0.5000 0.5000
Ni1 0.2500 0.2500 0.2500

Calculated values
DFT total energy: -7.55 eV/atom
ΔE_f: 226 meV/atom


The following is a PBE calculation of an optimized crystal structure of Zr2AlZn2Ga, from OQMD via LeMat-Bulk.

a = 4.3125 Å, b = 4.3125 Å, c = 6.5406 Å
α = 90.00°, β = 90.00°, γ = 120.00°
Positions (direct):
Zr1 0.0000 0.0000 0.2498
Zr2 0.0000 0.0000 0.7502
Al1 0.3333 0.6667 0.0000
Zn1 0.3333 0.6667 0.5000
Zn2 0.6667 0.3333 0.0000
Ga1 0.6667 0.3333 0.5000

Calculated values
DFT total energy: -4.86 eV/atom


The following is a PBE calculation of an optimized crystal structure of SrZn2Cu2, from OQMD via LeMat-Bulk.

a = 6.1307 Å, b = 6.1307 Å, c = 6.1307 Å
α = 139.72°, β = 139.72°, γ = 58.27°
Positions (direct):
Sr1 0.0000 0.0000 0.0000
Zn1 0.2500 0.7500 0.5000
Zn2 0.7500 0.2500 0.5000
Cu1 0.3835 0.3835 0.0000
Cu2 0.6165 0.6165 0.0000

Calculated values
DFT total energy: -2.47 eV/atom


Question: Which value of DFT total energy does entry 4 give?
Answer: -2.47 eV/atom